# Sr4SbSe2

A relaxed Sr4SbSe2 crystal (PBE, the Alexandria database).

Cell: 4.559 7.634 14.974 Å, 90.00 90.00 107.37°
Site moments in Bohr magnetons follow the coordinates.
Fractional positions:
Sr: 0.771 0.541 0.124  0.05
Sr: 0.771 0.541 0.376  0.05
Sr: 0.229 0.459 0.876  0.05
Sr: 0.229 0.459 0.624  0.05
Sr: 0.946 0.893 0.750  0.07
Sr: 0.054 0.107 0.250  0.07
Sr: 0.500 0.000 0.000  0.01
Sr: 0.500 0.000 0.500  0.01
Sb: 0.613 0.225 0.750  0.00
Sb: 0.387 0.775 0.250  0.00
Se: 0.134 0.267 0.443  0.01
Se: 0.866 0.733 0.943  0.01
Se: 0.134 0.267 0.057  0.01
Se: 0.866 0.733 0.557  0.01

Formation energy (no corrections) (eV per atom): -1.50
D(E_F) (states/eV/f.u.): 0.5
Space-group type: No. 63
Mass density (Mg/m³): 4.21

***

# PrHoBi

A relaxed PrHoBi crystal (PBE, the Alexandria database).

Cell: 4.124 4.124 6.217 Å, 109.37 109.37 90.00°
Site moments in Bohr magnetons follow the coordinates.
Fractional positions:
Pr: 0.341 0.341 0.682  0.19
Bi: 0.008 0.008 0.016  0.00
Ho: 0.651 0.651 0.302  0.30

D(E_F) (states/eV/f.u.): 3.0
Formation energy (kJ/mol of formula units): -138
Space-group type: No. 107
Mass density (Mg/m³): 9.15

***

# NbReSi

A relaxed NbReSi crystal (PBE, the Alexandria database).

Cell: 6.874 6.874 3.319 Å, 90.00 90.00 120.00°
Fractional positions:
Nb: 0.403 0.000 0.500
Nb: 0.000 0.403 0.500
Nb: 0.597 0.597 0.500
Re: 0.742 0.000 0.000
Re: 0.000 0.742 0.000
Re: 0.258 0.258 0.000
Si: 0.333 0.667 0.000
Si: 0.667 0.333 0.000
Si: 0.000 0.000 0.500

Formation energy (no corrections) (eV per atom): -0.51
D(E_F) (states/eV/f.u.): 1.9
Space-group type: No. 189
Mass density (Mg/m³): 11.27

***

# Dy3TlPt8

A relaxed Dy3TlPt8 crystal (PBE, the Alexandria database).

Cell: 5.449 5.449 8.875 Å, 90.00 90.00 120.00°
Fractional positions:
Dy: 0.667 0.333 0.453
Dy: 0.667 0.333 0.071
Dy: 0.000 0.000 0.910
Tl: 0.000 0.000 0.550
Pt: 0.333 0.667 0.502
Pt: 0.333 0.667 0.004
Pt: 0.502 0.004 0.756
Pt: 0.502 0.498 0.756
Pt: 0.996 0.498 0.756
Pt: 0.164 0.328 0.247
Pt: 0.164 0.836 0.247
Pt: 0.672 0.836 0.247

D(E_F) (states/eV/f.u.): 5.9
Formation energy (kJ/mol of formula units): -1030
Space-group type: No. 156
Mass density (Mg/m³): 16.39

***

# Rb2AcTi2O7

A relaxed Rb2AcTi2O7 crystal (PBE, the Alexandria database).

Cell: 3.990 3.990 11.727 Å, 80.19 80.19 90.00°
Site moments in Bohr magnetons follow the coordinates.
Fractional positions:
Rb: 0.810 0.810 0.380  0.00
Rb: 0.190 0.190 0.620  0.00
Ac: 0.000 0.000 0.000  0.00
Ti: 0.596 0.596 0.809  -0.04
Ti: 0.404 0.404 0.191  -0.04
O: 0.500 0.500 0.000  0.28
O: 0.326 0.326 0.347  0.08
O: 0.674 0.674 0.653  0.08
O: 0.918 0.418 0.163  0.12
O: 0.418 0.918 0.163  0.12
O: 0.582 0.082 0.837  0.12
O: 0.082 0.582 0.837  0.12

Formation energy (no corrections) (eV per atom): -2.67
D(E_F) (states/eV/f.u.): 7.2
Space-group type: No. 139
Mass density (Mg/m³): 5.55

***

# PPd4Se

A relaxed PPd4Se crystal (PBE, the Alexandria database).

Cell: 3.706 6.389 16.131 Å, 90.00 90.00 90.00°
Fractional positions:
P: 0.750 0.248 0.443
P: 0.250 0.752 0.557
P: 0.250 0.252 0.943
P: 0.750 0.748 0.057
Pd: 0.750 0.895 0.643
Pd: 0.250 0.105 0.357
Pd: 0.250 0.605 0.143
Pd: 0.750 0.395 0.857
Pd: 0.750 0.865 0.461
Pd: 0.250 0.135 0.539
Pd: 0.250 0.635 0.961
Pd: 0.750 0.365 0.039
Pd: 0.750 0.980 0.936
Pd: 0.250 0.020 0.064
Pd: 0.250 0.520 0.436
Pd: 0.750 0.480 0.564
Pd: 0.750 0.930 0.195
Pd: 0.250 0.070 0.805
Pd: 0.250 0.570 0.695
Pd: 0.750 0.430 0.305
Se: 0.750 0.768 0.798
Se: 0.250 0.232 0.202
Se: 0.250 0.732 0.298
Se: 0.750 0.268 0.702

ΔE to the lowest computed polymorph (meV per atom): 0
Formation energy (no corrections) (eV per atom): -0.33
D(E_F) (states/eV/f.u.): 3.1
Space-group type: No. 62
Mass density (Mg/m³): 9.32

***

# Pr4HgAuO

A relaxed Pr4HgAuO crystal (PBE, the Alexandria database).

Cell: 7.017 7.007 8.497 Å, 90.00 114.39 90.00°
Fractional positions:
Pr: 0.935 0.250 0.870
Pr: 0.424 0.750 0.848
Pr: 0.065 0.750 0.130
Pr: 0.576 0.250 0.152
Pr: 0.500 0.500 0.500
Pr: 0.000 0.000 0.500
Pr: 0.500 0.000 0.500
Pr: 0.000 0.500 0.500
Hg: 0.619 0.750 0.237
Hg: 0.381 0.250 0.763
Au: 0.122 0.250 0.245
Au: 0.878 0.750 0.755
O: 0.254 0.750 0.509
O: 0.746 0.250 0.491

Formation energy (no corrections) (eV per atom): -1.11
D(E_F) (states/eV/f.u.): 5.4
Space-group type: No. 63
Mass density (Mg/m³): 8.53

***

# SmDyEr2

A relaxed SmDyEr2 crystal (PBE, the Alexandria database).

Cell: 3.623 6.703 6.703 Å, 55.64 74.33 74.33°
Fractional positions:
Sm: 0.250 0.168 0.332
Dy: 0.750 0.665 0.835
Er: 0.001 0.083 0.916
Er: 0.499 0.584 0.417

ΔE to the lowest computed polymorph (meV per atom): 3
D(E_F) (states/eV/f.u.): 7.0
Formation energy (kJ/mol of formula units): 5
Space-group type: No. 44
Mass density (Mg/m³): 8.40

***

# MnCoPb2

A relaxed MnCoPb2 crystal (PBE, the Alexandria database).

Cell: 7.202 4.845 3.420 Å, 84.50 69.77 128.41°
Site moments in Bohr magnetons follow the coordinates.
Fractional positions:
Co: 0.000 0.500 0.500  1.26
Mn: 0.500 0.500 0.000  3.54
Pb: 0.000 0.000 0.000  -0.06
Pb: 0.500 0.000 0.500  -0.06

ΔE to the lowest computed polymorph (meV per atom): 303
D(E_F) (states/eV/f.u.): 4.2
Formation energy (kJ/mol of formula units): 219
Space-group type: No. 12
Mass density (Mg/m³): 11.03

***

# TmNp2S4

A relaxed TmNp2S4 crystal (PBE, the Alexandria database).

Cell: 9.437 9.437 9.437 Å, 60.00 60.00 60.00°
Site moments in Bohr magnetons follow the coordinates.
Fractional positions:
Tm: 0.625 0.125 0.125  0.10
Tm: 0.125 0.625 0.125  0.10
Tm: 0.125 0.125 0.125  0.10
Tm: 0.125 0.125 0.625  0.10
Np: 0.403 0.403 0.791  4.17
Np: 0.403 0.791 0.403  4.17
Np: 0.403 0.403 0.403  4.17
Np: 0.847 0.847 0.847  4.17
Np: 0.847 0.847 0.459  4.17
Np: 0.459 0.847 0.847  4.17
Np: 0.791 0.403 0.403  4.17
Np: 0.847 0.459 0.847  4.17
S: 0.042 0.042 0.458  -0.05
S: 0.625 0.125 0.625  -0.09
S: 0.208 0.792 0.792  -0.05
S: 0.042 0.458 0.042  -0.05
S: 0.458 0.458 0.042  -0.05
S: 0.792 0.208 0.208  -0.05
S: 0.208 0.792 0.208  -0.05
S: 0.208 0.208 0.792  -0.05
S: 0.458 0.042 0.042  -0.05
S: 0.792 0.792 0.208  -0.05
S: 0.625 0.625 0.125  -0.09
S: 0.042 0.458 0.458  -0.05
S: 0.458 0.042 0.458  -0.05
S: 0.792 0.208 0.792  -0.05
S: 0.625 0.625 0.625  -0.09
S: 0.125 0.625 0.625  -0.09

ΔE to the lowest computed polymorph (meV per atom): 135
Formation energy (no corrections) (eV per atom): -1.41
D(E_F) (states/eV/f.u.): 18.6
Space-group type: No. 227
Mass density (Mg/m³): 8.62

***

# La3TbDy2Se6

A relaxed La3TbDy2Se6 crystal (PBE, the Alexandria database).

Cell: 7.221 7.221 7.359 Å, 99.40 99.40 120.18°
Fractional positions:
La: 0.166 0.834 0.500
La: 0.834 0.166 0.500
La: 0.500 0.500 0.500
Tb: 0.000 0.000 0.000
Dy: 0.333 0.667 0.000
Dy: 0.667 0.333 0.000
Se: 0.923 0.588 0.768
Se: 0.742 0.742 0.231
Se: 0.077 0.412 0.232
Se: 0.588 0.923 0.768
Se: 0.258 0.258 0.769
Se: 0.412 0.077 0.232

Formation energy (no corrections) (eV per atom): -1.89
D(E_F) (states/eV/f.u.): 6.5
Space-group type: No. 12
Mass density (Mg/m³): 7.28

***

# Nd12Tm6In

A relaxed Nd12Tm6In crystal (PBE, the Alexandria database).

Cell: 8.711 8.711 8.711 Å, 98.00 98.00 98.00°
Fractional positions:
Nd: 0.579 0.172 0.578
Nd: 0.172 0.578 0.579
Nd: 0.578 0.579 0.172
Nd: 0.421 0.828 0.422
Nd: 0.828 0.422 0.421
Nd: 0.422 0.421 0.828
Nd: 0.259 0.001 0.741
Nd: 0.259 0.741 0.999
Nd: 0.999 0.259 0.741
Nd: 0.741 0.999 0.259
Nd: 0.741 0.259 0.001
Nd: 0.001 0.741 0.259
Tm: 0.137 0.138 0.404
Tm: 0.862 0.596 0.863
Tm: 0.596 0.863 0.862
Tm: 0.863 0.862 0.596
Tm: 0.138 0.404 0.137
Tm: 0.404 0.137 0.138
In: 0.000 0.000 0.000

ΔE to the lowest computed polymorph (meV per atom): 26
D(E_F) (states/eV/f.u.): 25.8
Formation energy (kJ/mol of formula units): 162
Space-group type: No. 148
Mass density (Mg/m³): 7.42